DFT (PBE) results for a relaxed Pm2EuC crystal.

Properties
The value obtained for the formation enthalpy at 0 K is -0.4 kcal/mol of atoms. The size of the total moment comes out at 7.8 μB/f.u. For the density of states at the Fermi level, the calculation gives 0.909 states/eV/atom. As for the space-group type: R-3m.

Cell lengths 3.6752, 3.6752, 10.4845 Å; angles 79.91, 79.91, 60.00 degrees
Site moments in Bohr magnetons follow the coordinates.
Sites, in units of the cell vectors:
Eu  0.0000  0.0000  0.0000  7.07
C  0.5000  0.5000  0.5000  0.00
Pm  0.1213  0.1213  0.6360  0.04
Pm  0.8787  0.8787  0.3640  0.04

DFT (PBE) results for a relaxed Pm3EuC crystal.

Properties
The value obtained for the formation enthalpy at 0 K is 2.1 kcal/mol of atoms. The size of the total moment comes out at 8.3 μB/f.u. For the density of states at the Fermi level, the calculation gives 1.105 states/eV/atom. As for the space-group type: Pm-3m.

Cell lengths 5.2583, 5.2583, 5.2583 Å; angles 90.00, 90.00, 90.00 degrees
Site moments in Bohr magnetons follow the coordinates.
Sites, in units of the cell vectors:
Eu  0.5000  0.5000  0.5000  6.95
C  0.0000  0.0000  0.0000  0.08
Pm  0.0000  0.5000  0.0000  0.13
Pm  0.0000  0.0000  0.5000  0.13
Pm  0.5000  0.0000  0.0000  0.13

DFT (PBE) results for a relaxed Pr3EuC crystal.

Properties
The value obtained for the formation enthalpy at 0 K is 2.9 kcal/mol of atoms. The size of the total moment comes out at 8.5 μB/f.u. For the density of states at the Fermi level, the calculation gives 1.938 states/eV/atom. As for the space-group type: Pm-3m.

Cell lengths 5.3405, 5.3405, 5.3405 Å; angles 90.00, 90.00, 90.00 degrees
Site moments in Bohr magnetons follow the coordinates.
Sites, in units of the cell vectors:
Eu  0.5000  0.5000  0.5000  -6.99
Pr  0.0000  0.5000  0.0000  -0.14
Pr  0.0000  0.0000  0.5000  -0.14
Pr  0.5000  0.0000  0.0000  -0.14
C  0.0000  0.0000  0.0000  -0.07

DFT (PBE) results for a relaxed PrEuC crystal.

Properties
The value obtained for the formation enthalpy at 0 K is 1.3 kcal/mol of atoms. The size of the total moment comes out at 7.3 μB/f.u. For the density of states at the Fermi level, the calculation gives 2.259 states/eV/atom. As for the space-group type: P3m1.

Cell lengths 6.7809, 3.7597, 3.7597 Å; angles 120.00, 90.00, 90.00 degrees
Site moments in Bohr magnetons follow the coordinates.
Sites, in units of the cell vectors:
Eu  0.7834  0.6667  0.3333  6.83
Pr  0.2027  0.3333  0.6667  0.05
C  0.0139  0.0000  0.0000  -0.06

DFT (PBE) results for a relaxed EuPuC2 crystal.

Properties
The value obtained for the formation enthalpy at 0 K is 6.9 kcal/mol of atoms. The size of the total moment comes out at 4.1 μB/f.u. For the density of states at the Fermi level, the calculation gives 3.764 states/eV/atom. As for the space-group type: R-3m.

Cell lengths 3.6165, 3.6165, 6.2164 Å; angles 73.09, 73.09, 60.00 degrees
Site moments in Bohr magnetons follow the coordinates.
Sites, in units of the cell vectors:
Eu  0.5000  0.5000  0.5000  6.77
C  0.2697  0.2697  0.1908  0.16
C  0.7303  0.7303  0.8092  0.16
Pu  0.0000  0.0000  0.0000  -3.51

DFT (PBE) results for a relaxed EuPuC crystal.

Properties
The value obtained for the formation enthalpy at 0 K is 3.7 kcal/mol of atoms. The size of the total moment comes out at 2.3 μB/f.u. The energy above the most stable polymorph in this dataset is 0 kJ/mol of formula units. For the density of states at the Fermi level, the calculation gives 4.410 states/eV/atom. As for the space-group type: P3m1.

Cell lengths 6.5955, 3.5311, 3.5311 Å; angles 120.00, 90.00, 90.00 degrees
Site moments in Bohr magnetons follow the coordinates.
Sites, in units of the cell vectors:
Eu  0.7659  0.6667  0.3333  -6.88
C  0.0272  0.0000  0.0000  -0.13
Pu  0.2069  0.3333  0.6667  4.87

DFT (PBE) results for a relaxed EuPuC crystal.

Properties
The value obtained for the formation enthalpy at 0 K is 7.9 kcal/mol of atoms. The size of the total moment comes out at 2.2 μB/f.u. The energy above the most stable polymorph in this dataset is 52 kJ/mol of formula units. For the density of states at the Fermi level, the calculation gives 2.462 states/eV/atom. As for the space-group type: I4mm.

Cell lengths 3.1925, 3.1925, 6.6219 Å; angles 103.95, 103.95, 90.00 degrees
Site moments in Bohr magnetons follow the coordinates.
Sites, in units of the cell vectors:
Eu  0.0461  0.0461  0.0923  -6.83
C  0.6842  0.6842  0.3684  -0.16
Pu  0.2697  0.2697  0.5393  4.91

DFT (PBE) results for a relaxed EuReC2 crystal.

Properties
The value obtained for the formation enthalpy at 0 K is 8.1 kcal/mol of atoms. The size of the total moment comes out at 6.2 μB/f.u. For the density of states at the Fermi level, the calculation gives 0.463 states/eV/atom. As for the space-group type: R-3m.

Cell lengths 3.2068, 3.2068, 5.9985 Å; angles 74.50, 74.50, 60.00 degrees
Site moments in Bohr magnetons follow the coordinates.
Sites, in units of the cell vectors:
Eu  0.5000  0.5000  0.5000  6.53
Re  0.0000  0.0000  0.0000  -0.15
C  0.7338  0.7338  0.7986  -0.08
C  0.2662  0.2662  0.2014  -0.08